Here is a relaxed structure of Si2P3Ir from the Alexandria database. Energies are from PBE-GGA.

extended XYZ file:
```
6
Lattice="2.976 -5.155 0.000 2.976 5.155 0.000 0.000 0.000 3.161" Properties=species:S:1:pos:R:3 pbc="T T T"
Si 2.976 1.718 0.000
Si 2.976 -1.718 0.000
P 1.488 -2.577 1.580
P 1.488 2.577 1.580
P 2.976 0.000 1.580
Ir 0.000 0.000 0.000
```

Computed properties:
The value obtained for the volume is 97 Å³ per cell. Its space-group type is P6/mmm, No. 191. The calculation puts the uncorrected formation energy at 0.938 eV per atom. The calculated total energy comes out at -30.3 eV per cell.

***

Here is a relaxed structure of BeTc2Hg from the Alexandria database. Energies are from PBE-GGA.

extended XYZ file:
```
4
Lattice="4.526 -0.006 0.026 3.622 2.715 0.026 0.670 0.223 4.985" Properties=species:S:1:pos:R:3 pbc="T T T"
Be 4.355 1.448 2.692
Hg 2.233 0.743 1.374
Tc 0.666 0.221 4.660
Tc 6.643 2.209 3.814
```

Computed properties:
The value obtained for the volume is 61 Å³ per cell. For the distance to the lowest polymorph of the same formula, the calculation gives 274 meV per atom. Its space-group type is Cm, No. 8. The calculated total energy comes out at -23.1 eV per cell. The formation enthalpy at 0 K is 0.41 eV/atom.

***

Here is a relaxed structure of CaLa2Co from the Alexandria database. Energies are from PBE-GGA.

extended XYZ file:
```
4
Lattice="3.839 0.000 0.814 1.833 3.373 0.814 -0.321 -0.191 10.969" Properties=species:S:1:pos:R:3 pbc="T T T"
Ca 0.000 0.000 0.000
La 4.887 2.906 5.331
La 0.465 0.276 7.266
Co 2.676 1.591 6.299
```

Computed properties:
The value obtained for the volume is 143 Å³ per cell. For the distance to the lowest polymorph of the same formula, the calculation gives 97 meV per atom. Its space-group type is R-3m, No. 166. The calculated total energy comes out at -18.9 eV per cell. The formation enthalpy at 0 K is 0.03 eV/atom.

***

Here is a relaxed structure of TaCr2Tc from the Alexandria database. Energies are from PBE-GGA.

extended XYZ file:
```
4
Lattice="-2.594 -4.240 0.229 2.016 1.697 4.289 -2.221 0.857 1.277" Properties=species:S:1:pos:R:3 pbc="T T T"
Cr 0.000 0.000 0.000
Cr -0.103 1.277 2.783
Ta -0.289 -1.271 2.259
Tc -2.408 -1.692 0.753
```

Computed properties:
The value obtained for the volume is 56 Å³ per cell. For the distance to the lowest polymorph of the same formula, the calculation gives 95 meV per atom. Its space-group type is C2/m, No. 12. The calculated total energy comes out at -41.3 eV per cell. The formation enthalpy at 0 K is 0.04 eV/atom.

***

Here is a relaxed structure of SbS6O2 from the Alexandria database. Energies are from PBE-GGA.

extended XYZ file:
```
9
Lattice="3.011 -0.171 -0.137 -0.528 10.275 -3.190 -0.044 -0.306 6.909" Properties=species:S:1:pos:R:3 pbc="T T T"
Sb 0.000 0.000 0.000
S 2.051 6.129 -0.361
S 0.388 3.669 3.943
S 2.255 7.385 2.595
S 0.254 1.971 3.007
S 2.185 7.827 0.575
S 0.184 2.413 0.987
O 1.002 9.644 -2.039
O 1.437 0.154 5.620
```

Computed properties:
The value obtained for the volume is 210 Å³ per cell. Its space-group type is P-1, No. 2. The calculation puts the uncorrected formation energy at -0.203 eV per atom. The calculated total energy comes out at -40.6 eV per cell.

***

Here is a relaxed structure of SrGaSnH from the Alexandria database. Energies are from PBE-GGA.

extended XYZ file:
```
4
Lattice="4.483 0.000 0.000 -2.241 3.882 0.000 0.000 0.000 5.145" Properties=species:S:1:pos:R:3 pbc="T T T"
Sr 2.241 1.294 5.141
Sn 0.000 0.000 2.322
Ga 0.000 2.588 3.086
H 0.000 2.588 4.831
```

Computed properties:
The value obtained for the volume is 90 Å³ per cell. Its space-group type is P3m1, No. 156. The calculated total energy comes out at -13.9 eV per cell.

***

- Among the records above, which one has the highest calculated total energy?
  SrGaSnH